Record 1
Na4Ag2F9 (PBE, optimized geometry); total energy = -3.807 eV/atom; crystal system = triclinic
1.0
5.7131 0.0000 0.0000
2.8529 5.0020 0.0000
0.0090 0.2300 15.5188
Na Ag F
8 4 18
direct
0.1619 0.1698 0.3155
0.1644 0.1665 0.0202
0.1683 0.1701 0.8156
0.1693 0.1664 0.5202
0.8307 0.8336 0.4798
0.8317 0.8299 0.1844
0.8356 0.8335 0.9798
0.8381 0.8302 0.6845
0.4932 0.5060 0.3515
0.4988 0.4937 0.1483
0.5012 0.5063 0.8517
0.5068 0.4940 0.6485
0.1469 0.5341 0.0853
0.1678 0.8002 0.5839
0.1780 0.8613 0.9143
0.1823 0.4663 0.4148
0.2041 0.7838 0.2580
0.2215 0.4999 0.7497
0.4607 0.8622 0.4141
0.4682 0.2004 0.9162
0.4876 0.2155 0.2413
0.5124 0.7845 0.7587
0.5318 0.7996 0.0838
0.5393 0.1378 0.5859
0.7785 0.5001 0.2503
0.7959 0.2162 0.7420
0.8177 0.5337 0.5852
0.8220 0.1387 0.0857
0.8322 0.1998 0.4161
0.8531 0.4659 0.9147

---

Record 2
BeHgAu (PBE, optimized geometry); offset from the most stable computed form = 0.08 eV/f.u.; total energy = -2.434 eV/atom; DFT formation energy = 0.001 eV per atom; crystal system = monoclinic
1.0
2.9124 0.0000 0.0000
0.0000 3.8169 0.0000
-1.1541 0.0000 9.6796
Be Hg Au
2 2 2
direct
0.0000 0.0000 0.0000
0.0668 0.5000 0.1518
0.5236 0.0000 0.6972
0.5335 0.5000 0.4537
0.4761 0.5000 0.9380
0.5900 0.0000 0.2133

---

Record 3
Sc2Sb2H (PBE, optimized geometry); offset from the most stable computed form = 0.00 eV/f.u.; total energy = -5.497 eV/atom; crystal system = monoclinic
1.0
6.1209 0.0000 0.0000
0.0000 3.5402 0.0000
-0.7277 0.0000 9.4856
Sc Sb H
4 4 2
direct
0.1638 0.2500 0.1039
0.2585 0.2500 0.6125
0.7415 0.7500 0.3875
0.8362 0.7500 0.8961
0.2349 0.7500 0.3652
0.3404 0.7500 0.8574
0.6596 0.2500 0.1426
0.7651 0.2500 0.6348
0.0213 0.7500 0.0719
0.9787 0.2500 0.9281

---

Record 4
HfSc2Te4 (PBE, optimized geometry); offset from the most stable computed form = 3.89 eV/f.u.; total energy = -5.529 eV/atom; crystal system = tetragonal
1.0
-2.8122 2.8122 7.0826
2.8122 -2.8122 7.0826
2.8122 2.8122 -7.0826
Hf Sc Te
1 2 4
direct
0.0000 0.0000 0.0000
0.3925 0.3925 0.0000
0.6075 0.6075 0.0000
0.0000 0.5000 0.5000
0.1976 0.1976 0.0000
0.5000 0.0000 0.5000
0.8024 0.8024 0.0000

---

Record 5
Er2TmCdHg4 (PBE, optimized geometry); total energy = -2.390 eV/atom; DFT formation energy = -0.425 eV per atom; crystal system = trigonal
1.0
2.5559 1.4756 8.5487
-2.5559 1.4756 8.5487
0.0000 -2.9513 8.5487
Er Tm Cd Hg
2 1 1 4
direct
0.2436 0.2436 0.2436
0.7564 0.7564 0.7564
0.0000 0.0000 0.0000
0.5000 0.5000 0.5000
0.1221 0.1221 0.1221
0.3692 0.3692 0.3692
0.6308 0.6308 0.6308
0.8779 0.8779 0.8779

---

Record 6
SrZrAl (PBE, optimized geometry); offset from the most stable computed form = 0.62 eV/f.u.; total energy = -4.386 eV/atom; DFT formation energy = 0.271 eV per atom; crystal system = trigonal
1.0
5.1327 0.0000 0.0000
-2.5663 4.4450 0.0000
0.0000 0.0000 3.5294
Sr Zr Al
1 1 1
direct
0.0000 0.0000 0.0000
0.6667 0.3333 0.4522
0.3333 0.6667 0.5661

---

Question: What is the total energy in the second record?
Answer: -2.434 eV/atom